Model a:
CsCrOs3 (PBE, relaxed); V = 114.7 Å³ per cell; magnetic moment = 1.2 μB/f.u.; theoretical density = 10.938 g cm⁻³
1.0
4.859 0.000 0.000
0.000 4.859 0.000
0.000 0.000 4.859
Cs Cr Os
1 1 3
Cartesian
0.000 0.000 0.000
2.429 2.429 2.429
0.000 2.429 0.000
0.000 0.000 2.429
2.429 0.000 0.000

Model b:
CsCrOs3 (PBE, relaxed); V = 102.3 Å³ per cell; magnetic moment = 1.1 μB/f.u.; theoretical density = 12.268 g cm⁻³
1.0
-2.055 -4.141 -0.708
1.549 -1.480 4.157
-3.905 1.592 2.022
Cs Cr Os
1 1 3
Cartesian
-2.205 -2.014 2.735
0.000 0.000 0.000
0.774 -0.740 2.079
-1.952 0.796 1.011
-1.028 -2.070 -0.354

Tell me which of them is the least stable. Sure, it is model a.

Model a:
CsCrP2S (PBE, relaxed); V = 107.4 Å³ per cell; magnetic moment = 0.0 μB/f.u.; theoretical density = 4.312 g cm⁻³
1.0
-1.921 -4.096 -0.340
2.304 -1.384 3.656
-3.915 1.581 3.066
Cs Cr S P
1 1 1 2
Cartesian
-1.766 -1.950 3.191
0.000 0.000 0.000
-1.958 0.791 1.533
1.152 -0.692 1.828
-0.960 -2.048 -0.170

Model b:
CsCrP2S (PBE, relaxed); V = 170.3 Å³ per cell; magnetic moment = 2.4 μB/f.u.; theoretical density = 2.719 g cm⁻³
1.0
5.657 0.000 0.000
0.000 5.657 0.000
0.000 0.000 5.322
Cs Cr S P
1 1 1 2
Cartesian
0.000 0.000 0.000
2.829 2.829 2.661
0.000 0.000 2.661
0.000 2.829 0.000
2.829 0.000 0.000

Tell me which of them is the least stable. Sure, it is model b.

Model a:
CsCrPt3 (PBE, relaxed); V = 140.4 Å³ per cell; magnetic moment = 4.8 μB/f.u.; theoretical density = 9.111 g cm⁻³
1.0
5.197 0.000 0.000
0.000 5.197 0.000
0.000 0.000 5.197
Cs Cr Pt
1 1 3
Cartesian
0.000 0.000 0.000
2.599 2.599 2.599
0.000 2.599 0.000
0.000 0.000 2.599
2.599 0.000 0.000

Model b:
CsCrPt3 (PBE, relaxed); V = 112.3 Å³ per cell; magnetic moment = 0.0 μB/f.u.; theoretical density = 11.388 g cm⁻³
1.0
-0.786 1.569 4.494
-3.745 -3.015 0.398
2.938 -3.424 1.709
Cs Cr Pt
1 1 3
Cartesian
-0.797 -2.435 3.301
0.000 0.000 0.000
-1.873 -1.508 0.199
1.469 -1.712 0.855
-0.393 0.785 2.247

Tell me which of them is the least stable. Sure, it is model a.

Model a:
CsCrRe3 (PBE, relaxed); V = 104.6 Å³ per cell; magnetic moment = 3.3 μB/f.u.; theoretical density = 11.807 g cm⁻³
1.0
-2.886 2.813 2.440
1.698 -1.754 4.030
3.315 3.348 0.061
Cs Re Cr
1 3 1
Cartesian
1.063 2.204 3.265
0.849 -0.877 2.015
1.657 1.674 0.030
-1.443 1.407 1.220
0.000 0.000 0.000

Model b:
CsCrRe3 (PBE, relaxed); V = 112.0 Å³ per cell; magnetic moment = 0.1 μB/f.u.; theoretical density = 11.023 g cm⁻³
1.0
-4.748 -0.545 -0.630
0.283 -4.484 1.746
-0.784 1.683 4.449
Cs Re Cr
1 3 1
Cartesian
0.000 0.000 0.000
0.142 -2.242 0.873
-0.392 0.842 2.224
-2.374 -0.273 -0.315
-2.624 -1.673 2.782

Tell me which of them is the least stable. Sure, it is model b.

Model a:
CsCrRh3 (PBE, relaxed); V = 102.4 Å³ per cell; magnetic moment = 0.0 μB/f.u.; theoretical density = 8.007 g cm⁻³
1.0
-0.356 4.549 1.029
-4.664 -0.362 -0.014
0.066 -1.027 4.563
Cs Cr Rh
1 1 3
Cartesian
-2.477 1.580 2.789
0.000 0.000 0.000
-2.332 -0.181 -0.007
0.033 -0.513 2.282
-0.178 2.275 0.514

Model b:
CsCrRh3 (PBE, relaxed); V = 116.6 Å³ per cell; magnetic moment = 1.0 μB/f.u.; theoretical density = 7.031 g cm⁻³
1.0
-2.231 -2.394 3.627
-1.760 -3.231 -3.214
3.974 -2.775 0.614
Cs Cr Rh
1 1 3
Cartesian
0.000 0.000 0.000
-0.009 -4.199 0.513
-0.880 -1.615 -1.607
1.987 -1.387 0.307
-1.116 -1.197 1.814

Tell me which of them is the least stable. Sure, it is model b.

Model a:
CsCrRu2 (PBE, relaxed); V = 73.8 Å³ per cell; magnetic moment = 1.3 μB/f.u.; theoretical density = 8.707 g cm⁻³
1.0
0.000 3.329 3.329
3.329 0.000 3.329
3.329 3.329 0.000
Cs Ru Cr
1 2 1
Cartesian
3.329 3.329 3.329
1.665 1.665 1.665
4.994 4.994 4.994
0.000 0.000 0.000

Model b:
CsCrRu2 (PBE, relaxed); V = 179.4 Å³ per cell; magnetic moment = 0.0 μB/f.u.; theoretical density = 7.164 g cm⁻³
1.0
-6.702 -2.196 1.264
-0.409 -2.588 -6.669
-2.336 -5.470 -1.583
Cs Ru Cr
2 4 2
Cartesian
0.000 0.000 0.000
-6.297 -5.029 -1.511
-4.171 -2.850 -0.563
-2.330 -3.474 -4.283
-4.459 -6.149 -3.864
-7.935 -8.037 -5.267
-3.556 -2.392 -2.703
-3.150 -5.225 -5.477

Tell me which of them is the least stable. Sure, it is model a.

Model a:
CsCrRu3 (PBE, relaxed); V = 113.0 Å³ per cell; magnetic moment = 2.0 μB/f.u.; theoretical density = 7.175 g cm⁻³
1.0
4.834 0.000 0.000
0.000 4.834 0.000
0.000 0.000 4.834
Cs Ru Cr
1 3 1
Cartesian
0.000 0.000 0.000
0.000 2.417 0.000
0.000 0.000 2.417
2.417 0.000 0.000
2.417 2.417 2.417

Model b:
CsCrRu3 (PBE, relaxed); V = 102.7 Å³ per cell; magnetic moment = 2.6 μB/f.u.; theoretical density = 7.890 g cm⁻³
1.0
-4.532 -0.510 -1.063
-0.978 -0.735 4.521
-0.659 4.597 0.605
Cs Ru Cr
1 3 1
Cartesian
-3.085 1.676 2.031
-0.489 -0.367 2.260
-0.330 2.299 0.302
-2.266 -0.255 -0.532
0.000 0.000 0.000

Tell me which of them is the least stable. Sure, it is model a.

Model a:
Cs2CrS4 (PBE, relaxed); V = 206.1 Å³ per cell; magnetic moment = 0.0 μB/f.u.; theoretical density = 3.593 g cm⁻³
1.0
-2.100 4.413 -0.284
-4.036 -2.041 -1.873
-6.244 0.185 6.854
Cs Cr S
2 1 4
Cartesian
-4.015 0.887 1.287
-8.364 1.669 3.409
0.000 0.000 0.000
-5.413 0.447 4.779
-6.966 2.110 -0.083
-2.018 -1.021 -0.937
-1.050 2.206 -0.142

Model b:
Cs2CrS4 (PBE, relaxed); V = 941.1 Å³ per cell; magnetic moment = 0.0 μB/f.u.; theoretical density = 3.148 g cm⁻³
1.0
7.214 0.000 0.000
0.000 10.233 0.000
0.000 0.000 12.748
Cs Cr S
8 4 16
Cartesian
5.411 5.441 4.235
1.804 4.793 8.513
1.804 9.909 10.609
5.411 0.324 2.139
5.411 8.699 7.634
1.804 1.534 5.113
1.804 6.651 1.260
5.411 3.582 11.487
5.411 7.716 11.709
1.804 2.517 1.039
1.804 7.634 5.335
5.411 2.599 7.413
3.718 6.884 10.828
3.496 3.349 1.920
3.496 8.466 4.454
0.111 3.349 1.920
3.718 1.767 8.293
7.103 6.884 10.828
7.103 1.767 8.293
0.111 8.466 4.454
5.411 9.782 11.412
1.804 0.451 1.336
1.804 5.567 5.038
5.411 4.666 7.710
5.411 2.149 5.376
1.804 8.084 7.372
1.804 2.967 11.750
5.411 7.266 0.998

Tell me which of them is the least stable. Sure, it is model a.

Model a:
CsCr2S4 (PBE, relaxed); V = 170.8 Å³ per cell; magnetic moment = 5.0 μB/f.u.; theoretical density = 3.550 g cm⁻³
1.0
8.602 0.027 -0.032
7.848 3.523 -0.032
1.306 0.282 5.671
Cs Cr S
1 2 4
Cartesian
8.878 1.916 2.804
12.696 2.739 1.264
5.060 1.092 4.343
5.560 1.200 0.150
12.196 2.631 5.457
14.256 3.076 3.031
3.499 0.755 2.577

Model b:
CsCr2S4 (PBE, relaxed); V = 343.7 Å³ per cell; magnetic moment = 5.0 μB/f.u.; theoretical density = 3.528 g cm⁻³
1.0
7.863 0.000 0.000
3.931 6.809 0.000
3.931 2.270 6.420
Cs Cr S
2 4 8
Cartesian
7.863 4.539 3.210
11.794 6.809 4.815
1.966 1.135 0.802
5.897 1.135 0.802
3.931 4.539 0.802
3.931 2.270 4.012
5.413 3.125 2.210
9.345 8.223 5.815
11.794 6.809 1.815
11.794 3.981 5.815
7.863 4.539 6.210
7.863 7.368 2.210
14.243 8.223 5.815
10.312 3.125 2.210

Tell me which of them is the least stable. Sure, it is model b.

Model a:
CsCrSi3 (PBE, relaxed); V = 102.2 Å³ per cell; magnetic moment = 0.0 μB/f.u.; theoretical density = 4.375 g cm⁻³
1.0
-0.773 -0.668 -4.562
-2.289 -3.960 0.968
-4.002 2.393 0.328
Cs Cr Si
1 1 3
Cartesian
-3.532 -1.117 -1.633
0.000 0.000 0.000
-1.144 -1.980 0.484
-2.001 1.197 0.164
-0.387 -0.334 -2.281

Model b:
CsCrSi3 (PBE, relaxed); V = 165.2 Å³ per cell; magnetic moment = 4.5 μB/f.u.; theoretical density = 2.705 g cm⁻³
1.0
5.487 0.000 0.000
0.000 5.487 0.000
0.000 0.000 5.487
Cs Cr Si
1 1 3
Cartesian
0.000 0.000 0.000
2.744 2.744 2.744
0.000 2.744 0.000
0.000 0.000 2.744
2.744 0.000 0.000

Tell me which of them is the least stable. Sure, it is model b.

Model a:
CsCrSn (PBE, relaxed); V = 217.8 Å³ per cell; magnetic moment = 0.0 μB/f.u.; theoretical density = 4.630 g cm⁻³
1.0
-3.115 -1.870 -2.841
5.741 -1.267 -1.737
-0.922 -6.406 5.333
Cs Cr Sn
2 2 2
Cartesian
2.563 -5.863 1.142
-0.859 -3.680 -0.387
-0.290 -6.552 4.731
1.994 -2.991 -3.977
-0.798 -7.441 2.127
2.502 -2.102 -1.373

Model b:
CsCrSn (PBE, relaxed); V = 102.6 Å³ per cell; magnetic moment = 3.7 μB/f.u.; theoretical density = 4.913 g cm⁻³
1.0
6.739 0.000 0.000
0.000 4.314 0.000
0.000 0.000 3.530
Cs Cr Sn
1 1 1
Cartesian
3.369 2.157 1.765
0.000 2.157 1.765
0.000 0.000 0.000

Tell me which of them is the least stable. Sure, it is model a.

Model a:
CsCrSn (PBE, relaxed); V = 250.7 Å³ per cell; magnetic moment = 0.0 μB/f.u.; theoretical density = 4.022 g cm⁻³
1.0
4.514 0.000 0.000
0.000 4.621 0.000
-0.216 -2.250 12.020
Cs Cr Sn
2 2 2
Cartesian
4.338 0.017 3.169
2.024 2.380 7.924
0.929 2.388 11.339
2.716 2.389 11.597
2.008 2.328 0.909
4.069 0.078 10.724

Model b:
CsCrSn (PBE, relaxed); V = 262.7 Å³ per cell; magnetic moment = 0.0 μB/f.u.; theoretical density = 3.838 g cm⁻³
1.0
4.602 -0.011 -0.002
2.223 4.673 -0.003
2.169 0.586 12.204
Cs Cr Sn
2 2 2
Cartesian
4.638 1.440 8.593
4.355 3.808 3.605
2.991 0.632 11.839
6.002 4.616 0.360
6.763 3.135 11.185
2.231 2.114 1.013

Tell me which of them is the least stable. Sure, it is model b.